Record 1
# NaSc3As, relaxed, DFT GGA-PBE
# crystal system: cubic
# formation energy: 0.905 eV/atom
# total moment: 0.9 μB/f.u.
# density: 3.0 Mg/m³
# VASP energy: -4.087 eV per atom
data_NaSc3As
_chemical_formula_sum 'Na1 Sc3 As1'
_cell_length_a 5.041
_cell_length_b 5.041
_cell_length_c 5.041
_cell_angle_alpha 90.00
_cell_angle_beta 90.00
_cell_angle_gamma 90.00
_symmetry_space_group_name_H-M 'P 1'
_symmetry_Int_Tables_number 1
loop_
_symmetry_equiv_pos_as_xyz
'x,y,z'
loop_
_atom_site_label
_atom_site_type_symbol
_atom_site_fract_x
_atom_site_fract_y
_atom_site_fract_z
_atom_site_occupancy
Sc1 Sc 0.000 0.500 0.000 1
Sc2 Sc 0.000 0.000 0.500 1
Sc3 Sc 0.500 0.000 0.000 1
Na1 Na 0.000 0.000 0.000 1
As1 As 0.500 0.500 0.500 1

Record 2
# LiNdGaN2, relaxed, DFT GGA-PBE
# crystal system: monoclinic
# total moment: 0.0 μB/f.u.
# uncorrected formation energy: -0.452 eV/atom
# density: 5.8 Mg/m³
# VASP energy: -5.724 eV per atom
data_LiNdGaN2
_chemical_formula_sum 'Li2 Nd2 Ga2 N4'
_cell_length_a 3.948
_cell_length_b 5.550
_cell_length_c 6.530
_cell_angle_alpha 94.23
_cell_angle_beta 90.00
_cell_angle_gamma 90.00
_symmetry_space_group_name_H-M 'P 1'
_symmetry_Int_Tables_number 1
loop_
_symmetry_equiv_pos_as_xyz
'x,y,z'
loop_
_atom_site_label
_atom_site_type_symbol
_atom_site_fract_x
_atom_site_fract_y
_atom_site_fract_z
_atom_site_occupancy
Li1 Li 0.477 0.000 0.250 1
Li2 Li 0.523 0.000 0.750 1
Nd1 Nd 0.244 0.500 0.750 1
Nd2 Nd 0.756 0.500 0.250 1
Ga1 Ga 0.000 0.000 0.000 1
Ga2 Ga 0.000 0.000 0.500 1
N1 N 0.717 0.740 0.928 1
N2 N 0.717 0.260 0.572 1
N3 N 0.283 0.740 0.428 1
N4 N 0.283 0.260 0.072 1

Record 3
# KTl14Bi, relaxed, DFT GGA-PBE
# crystal system: orthorhombic
# formation energy: -0.023 eV/atom
# total moment: 0.0 μB/f.u.
# density: 10.2 Mg/m³
# VASP energy: -2.404 eV per atom
data_KTl14Bi
_chemical_formula_sum 'K1 Tl14 Bi1'
_cell_length_a 6.962
_cell_length_b 6.962
_cell_length_c 11.035
_cell_angle_alpha 90.00
_cell_angle_beta 90.00
_cell_angle_gamma 109.06
_symmetry_space_group_name_H-M 'P 1'
_symmetry_Int_Tables_number 1
loop_
_symmetry_equiv_pos_as_xyz
'x,y,z'
loop_
_atom_site_label
_atom_site_type_symbol
_atom_site_fract_x
_atom_site_fract_y
_atom_site_fract_z
_atom_site_occupancy
K1 K 0.104 0.896 0.500 1
Tl1 Tl 0.140 0.860 0.000 1
Tl2 Tl 0.683 0.317 0.000 1
Tl3 Tl 0.037 0.376 0.500 1
Tl4 Tl 0.196 0.377 0.000 1
Tl5 Tl 0.624 0.963 0.500 1
Tl6 Tl 0.623 0.804 0.000 1
Tl7 Tl 0.410 0.151 0.756 1
Tl8 Tl 0.410 0.151 0.244 1
Tl9 Tl 0.849 0.590 0.756 1
Tl10 Tl 0.849 0.590 0.244 1
Tl11 Tl 0.360 0.640 0.729 1
Tl12 Tl 0.360 0.640 0.271 1
Tl13 Tl 0.897 0.103 0.770 1
Tl14 Tl 0.897 0.103 0.230 1
Bi1 Bi 0.560 0.440 0.500 1

Record 4
# Dy2Ni4Ge3Sb, relaxed, DFT GGA-PBE
# crystal system: tetragonal
# total moment: 0.0 μB/f.u.
# uncorrected formation energy: -0.628 eV/atom
# density: 8.8 Mg/m³
# VASP energy: -5.658 eV per atom
data_Dy2Ni4Ge3Sb
_chemical_formula_sum 'Dy2 Ni4 Ge3 Sb1'
_cell_length_a 4.166
_cell_length_b 4.166
_cell_length_c 9.798
_cell_angle_alpha 90.00
_cell_angle_beta 90.00
_cell_angle_gamma 90.00
_symmetry_space_group_name_H-M 'P 1'
_symmetry_Int_Tables_number 1
loop_
_symmetry_equiv_pos_as_xyz
'x,y,z'
loop_
_atom_site_label
_atom_site_type_symbol
_atom_site_fract_x
_atom_site_fract_y
_atom_site_fract_z
_atom_site_occupancy
Dy1 Dy 0.500 0.000 0.233 1
Dy2 Dy 0.000 0.500 0.767 1
Ni1 Ni 0.500 0.500 0.000 1
Ni2 Ni 0.000 0.000 0.000 1
Ni3 Ni 0.500 0.000 0.638 1
Ni4 Ni 0.000 0.500 0.362 1
Ge1 Ge 0.000 0.000 0.500 1
Ge2 Ge 0.500 0.000 0.877 1
Ge3 Ge 0.000 0.500 0.123 1
Sb1 Sb 0.500 0.500 0.500 1

Record 5
# AgBH3, relaxed, DFT GGA-PBE
# crystal system: cubic
# total moment: 0.0 μB/f.u.
# density: 5.6 Mg/m³
# VASP energy: -3.042 eV per atom
data_AgBH3
_chemical_formula_sum 'Ag1 B1 H3'
_cell_length_a 3.313
_cell_length_b 3.313
_cell_length_c 3.313
_cell_angle_alpha 90.00
_cell_angle_beta 90.00
_cell_angle_gamma 90.00
_symmetry_space_group_name_H-M 'P 1'
_symmetry_Int_Tables_number 1
loop_
_symmetry_equiv_pos_as_xyz
'x,y,z'
loop_
_atom_site_label
_atom_site_type_symbol
_atom_site_fract_x
_atom_site_fract_y
_atom_site_fract_z
_atom_site_occupancy
H1 H 0.000 0.500 0.000 1
H2 H 0.000 0.000 0.500 1
H3 H 0.500 0.000 0.000 1
B1 B 0.000 0.000 0.000 1
Ag1 Ag 0.500 0.500 0.500 1

Record 6
# La5Dy3H12, relaxed, DFT GGA-PBE
# crystal system: cubic
# total moment: 0.0 μB/f.u.
# density: 6.3 Mg/m³
# VASP energy: -4.354 eV per atom
data_La5Dy3H12
_chemical_formula_sum 'La20 Dy12 H48'
_cell_length_a 11.773
_cell_length_b 11.773
_cell_length_c 11.773
_cell_angle_alpha 109.47
_cell_angle_beta 109.47
_cell_angle_gamma 109.47
_symmetry_space_group_name_H-M 'P 1'
_symmetry_Int_Tables_number 1
loop_
_symmetry_equiv_pos_as_xyz
'x,y,z'
loop_
_atom_site_label
_atom_site_type_symbol
_atom_site_fract_x
_atom_site_fract_y
_atom_site_fract_z
_atom_site_occupancy
Dy1 Dy 0.750 0.375 0.125 1
Dy2 Dy 0.875 0.750 0.125 1
Dy3 Dy 0.375 0.750 0.625 1
Dy4 Dy 0.250 0.125 0.375 1
Dy5 Dy 0.875 0.125 0.250 1
Dy6 Dy 0.375 0.625 0.250 1
Dy7 Dy 0.625 0.375 0.750 1
Dy8 Dy 0.125 0.875 0.750 1
Dy9 Dy 0.750 0.875 0.625 1
Dy10 Dy 0.625 0.250 0.375 1
Dy11 Dy 0.125 0.250 0.875 1
Dy12 Dy 0.250 0.625 0.875 1
La1 La 0.125 0.375 0.250 1
La2 La 0.000 0.500 0.000 1
La3 La 0.000 0.000 0.000 1
La4 La 0.375 0.250 0.125 1
La5 La 0.500 0.000 0.500 1
La6 La 0.500 0.500 0.000 1
La7 La 0.125 0.750 0.375 1
La8 La 0.750 0.125 0.875 1
La9 La 0.750 0.625 0.375 1
La10 La 0.375 0.125 0.750 1
La11 La 0.625 0.875 0.250 1
La12 La 0.500 0.500 0.500 1
La13 La 0.500 0.000 0.000 1
La14 La 0.000 0.000 0.500 1
La15 La 0.250 0.375 0.625 1
La16 La 0.250 0.875 0.125 1
La17 La 0.000 0.500 0.500 1
La18 La 0.875 0.250 0.625 1
La19 La 0.625 0.750 0.875 1
La20 La 0.875 0.625 0.750 1
H1 H 0.732 0.162 0.076 1
H2 H 0.345 0.576 0.414 1
H3 H 0.924 0.338 0.268 1
H4 H 0.576 0.232 0.162 1
H5 H 0.570 0.732 0.655 1
H6 H 0.924 0.586 0.155 1
H7 H 0.345 0.768 0.430 1
H8 H 0.086 0.930 0.162 1
H9 H 0.586 0.924 0.655 1
H10 H 0.732 0.570 0.155 1
H11 H 0.768 0.424 0.338 1
H12 H 0.845 0.914 0.076 1
H13 H 0.162 0.732 0.576 1
H14 H 0.338 0.414 0.070 1
H15 H 0.070 0.914 0.338 1
H16 H 0.430 0.162 0.586 1
H17 H 0.070 0.155 0.232 1
H18 H 0.424 0.655 0.086 1
H19 H 0.845 0.930 0.268 1
H20 H 0.162 0.430 0.086 1
H21 H 0.338 0.924 0.768 1
H22 H 0.586 0.662 0.430 1
H23 H 0.914 0.845 0.576 1
H24 H 0.768 0.345 0.930 1
H25 H 0.414 0.338 0.570 1
H26 H 0.086 0.155 0.424 1
H27 H 0.232 0.655 0.070 1
H28 H 0.155 0.070 0.732 1
H29 H 0.662 0.076 0.232 1
H30 H 0.838 0.570 0.914 1
H31 H 0.576 0.345 0.914 1
H32 H 0.570 0.838 0.414 1
H33 H 0.930 0.845 0.768 1
H34 H 0.930 0.086 0.662 1
H35 H 0.838 0.268 0.424 1
H36 H 0.155 0.086 0.924 1
H37 H 0.662 0.586 0.930 1
H38 H 0.414 0.076 0.345 1
H39 H 0.268 0.430 0.845 1
H40 H 0.232 0.576 0.662 1
H41 H 0.914 0.070 0.838 1
H42 H 0.655 0.232 0.570 1
H43 H 0.424 0.768 0.838 1
H44 H 0.076 0.414 0.845 1
H45 H 0.430 0.268 0.345 1
H46 H 0.076 0.662 0.732 1
H47 H 0.655 0.424 0.586 1
H48 H 0.268 0.838 0.924 1

Record 7
# Ac8Ni3RhI4, relaxed, DFT GGA-PBE
# crystal system: monoclinic
# total moment: 0.0 μB/f.u.
# uncorrected formation energy: -0.820 eV/atom
# density: 7.6 Mg/m³
# VASP energy: -4.805 eV per atom
data_Ac8Ni3RhI4
_chemical_formula_sum 'Ac8 Ni3 Rh1 I4'
_cell_length_a 8.747
_cell_length_b 10.011
_cell_length_c 8.726
_cell_angle_alpha 115.83
_cell_angle_beta 120.08
_cell_angle_gamma 90.00
_symmetry_space_group_name_H-M 'P 1'
_symmetry_Int_Tables_number 1
loop_
_symmetry_equiv_pos_as_xyz
'x,y,z'
loop_
_atom_site_label
_atom_site_type_symbol
_atom_site_fract_x
_atom_site_fract_y
_atom_site_fract_z
_atom_site_occupancy
Ac1 Ac 0.227 0.683 0.954 1
Ac2 Ac 0.228 0.684 0.456 1
Ac3 Ac 0.274 0.319 0.547 1
Ac4 Ac 0.726 0.683 0.954 1
Ac5 Ac 0.274 0.317 0.046 1
Ac6 Ac 0.726 0.681 0.453 1
Ac7 Ac 0.772 0.316 0.544 1
Ac8 Ac 0.773 0.317 0.046 1
Ni1 Ni 0.500 0.500 0.000 1
Ni2 Ni 0.500 0.500 0.500 1
Ni3 Ni 0.000 0.500 0.500 1
Rh1 Rh 0.000 0.500 0.000 1
I1 I 0.500 0.000 0.000 1
I2 I 0.500 0.000 0.500 1
I3 I 0.000 0.000 0.000 1
I4 I 0.000 0.000 0.500 1

Record 8
# Ac2H2PdO6, relaxed, DFT GGA-PBE
# crystal system: trigonal
# total moment: 0.0 μB/f.u.
# density: 8.8 Mg/m³
# VASP energy: -6.241 eV per atom
data_Ac2H2PdO6
_chemical_formula_sum 'Ac2 H2 Pd1 O6'
_cell_length_a 5.313
_cell_length_b 5.313
_cell_length_c 5.937
_cell_angle_alpha 63.42
_cell_angle_beta 63.42
_cell_angle_gamma 60.00
_symmetry_space_group_name_H-M 'P 1'
_symmetry_Int_Tables_number 1
loop_
_symmetry_equiv_pos_as_xyz
'x,y,z'
loop_
_atom_site_label
_atom_site_type_symbol
_atom_site_fract_x
_atom_site_fract_y
_atom_site_fract_z
_atom_site_occupancy
Ac1 Ac 0.765 0.765 0.706 1
Ac2 Ac 0.235 0.235 0.294 1
H1 H 0.414 0.414 0.759 1
H2 H 0.586 0.586 0.241 1
Pd1 Pd 0.000 0.000 0.000 1
O1 O 0.743 0.743 0.251 1
O2 O 0.262 0.743 0.251 1
O3 O 0.743 0.262 0.251 1
O4 O 0.257 0.738 0.749 1
O5 O 0.738 0.257 0.749 1
O6 O 0.257 0.257 0.749 1